# Be2PN GGA-PBE optimized geometry
# Excess energy over the best structure of this formula in the dataset ... 0 meV per atom
# Magnetic moment ... 0.000 μB per cell
# DOS(E_F) ... 1.64 states/eV/cell
# ΔE_f (raw) ... -0.241 eV per atom
data_Be2PN
_chemical_formula_sum 'Be8 P4 N4'
_cell_length_a 4.6867
_cell_length_b 4.6867
_cell_length_c 7.8449
_cell_angle_alpha 90.00
_cell_angle_beta 90.00
_cell_angle_gamma 90.00
_space_group_name_H-M_alt 'I -4 2 d'
_space_group_IT_number 122
_space_group_name_Hall 'I -4 2bw'
loop_
_atom_site_label
_atom_site_type_symbol
_atom_site_fract_x
_atom_site_fract_y
_atom_site_fract_z
_atom_site_occupancy
Be1 Be 0.1321 0.2500 0.1250 1
P1 P 0.0000 0.0000 0.5000 1
N1 N 0.0000 0.0000 0.0000 1



# PuS2Cl2F2 GGA-PBE optimized geometry
# Magnetic moment ... 12.001 μB per cell
# DOS(E_F) ... 14.19 states/eV/cell
# ΔE_f (raw) ... -1.634 eV per atom
data_PuS2Cl2F2
_chemical_formula_sum 'Pu2 S4 Cl4 F4'
_cell_length_a 13.9660
_cell_length_b 4.1225
_cell_length_c 9.3457
_cell_angle_alpha 90.00
_cell_angle_beta 131.38
_cell_angle_gamma 90.00
_space_group_name_H-M_alt 'C 1 2/m 1'
_space_group_IT_number 12
loop_
_space_group_symop_operation_xyz
'x,y,z'
'-x,-y,-z'
'-x,y,-z'
'x,-y,z'
'x+1/2,y+1/2,z'
'-x+1/2,-y+1/2,-z'
'-x+1/2,y+1/2,-z'
'x+1/2,-y+1/2,z'
loop_
_atom_site_label
_atom_site_type_symbol
_atom_site_fract_x
_atom_site_fract_y
_atom_site_fract_z
_atom_site_occupancy
Pu1 Pu 0.0000 0.0000 0.0000 1
S1 S 0.0831 0.0000 0.6205 1
Cl1 Cl 0.0841 0.5000 0.2481 1
F1 F 0.1717 0.0000 0.0673 1



# Hg4BiPb7 GGA-PBE optimized geometry
# Magnetic moment ... 0.000 μB per cell
# Formation energy ... 0.025 eV per atom
# DOS(E_F) ... 6.62 states/eV/cell
data_Hg4BiPb7
_chemical_formula_sum 'Hg4 Bi1 Pb7'
_cell_length_a 5.4710
_cell_length_b 5.4710
_cell_length_c 13.7981
_cell_angle_alpha 90.00
_cell_angle_beta 90.00
_cell_angle_gamma 120.00
_space_group_name_H-M_alt 'P -3 m 1'
_space_group_IT_number 164
_space_group_name_Hall '-P 3 2"'
loop_
_atom_site_label
_atom_site_type_symbol
_atom_site_fract_x
_atom_site_fract_y
_atom_site_fract_z
_atom_site_occupancy
Hg1 Hg 0.3333 0.6667 0.1720 1
Hg2 Hg 0.3333 0.6667 0.4139 1
Bi1 Bi 0.0000 0.0000 0.0000 1
Pb1 Pb 0.0000 0.0000 0.2455 1
Pb2 Pb 0.0000 0.0000 0.5000 1
Pb3 Pb 0.3333 0.6667 0.6576 1
Pb4 Pb 0.3333 0.6667 0.9131 1



# Pu2FeCl GGA-PBE optimized geometry
# Excess energy over the best structure of this formula in the dataset ... 8 meV per atom
# Magnetic moment ... 28.739 μB per cell
# DOS(E_F) ... 34.58 states/eV/cell
# ΔE_f (raw) ... -0.492 eV per atom
data_Pu2FeCl
_chemical_formula_sum 'Pu6 Fe3 Cl3'
_cell_length_a 3.7547
_cell_length_b 3.7547
_cell_length_c 22.5099
_cell_angle_alpha 90.00
_cell_angle_beta 90.00
_cell_angle_gamma 120.00
_space_group_name_H-M_alt 'R -3 m'
_space_group_IT_number 166
_space_group_name_Hall '-R 3 2"'
loop_
_atom_site_label
_atom_site_type_symbol
_atom_site_fract_x
_atom_site_fract_y
_atom_site_fract_z
_atom_site_occupancy
Pu1 Pu 0.0000 0.0000 0.2345 1
Fe1 Fe 0.0000 0.0000 0.5000 1
Cl1 Cl 0.0000 0.0000 0.0000 1



# ThCo3Si3 GGA-PBE optimized geometry
# Excess energy over the best structure of this formula in the dataset ... 0 meV per atom
# Magnetic moment ... 0.003 μB per cell
# DOS(E_F) ... 37.74 states/eV/cell
# ΔE_f (raw) ... -0.301 eV per atom
data_ThCo3Si3
_chemical_formula_sum 'Th6 Co18 Si18'
_cell_length_a 6.1455
_cell_length_b 6.1455
_cell_length_c 20.8397
_cell_angle_alpha 90.00
_cell_angle_beta 90.00
_cell_angle_gamma 120.00
_space_group_name_H-M_alt 'R -3'
_space_group_IT_number 148
_space_group_name_Hall '-R 3'
loop_
_atom_site_label
_atom_site_type_symbol
_atom_site_fract_x
_atom_site_fract_y
_atom_site_fract_z
_atom_site_occupancy
Th1 Th 0.0000 0.0000 0.1729 1
Co1 Co 0.0309 0.2773 0.7060 1
Si1 Si 0.0404 0.2778 0.5956 1



# CaCoCl GGA-PBE optimized geometry
# Magnetic moment ... 4.797 μB per cell
# DOS(E_F) ... 5.99 states/eV/cell
# ΔE_f (raw) ... -0.733 eV per atom
data_CaCoCl
_chemical_formula_sum 'Ca4 Co4 Cl4'
_cell_length_a 3.9803
_cell_length_b 8.3916
_cell_length_c 7.6351
_cell_angle_alpha 90.00
_cell_angle_beta 90.00
_cell_angle_gamma 90.00
_space_group_name_H-M_alt 'I m a 2'
_space_group_IT_number 46
loop_
_space_group_symop_operation_xyz
'x,y,z'
'-x,-y,z'
'-x+1/2,y,z'
'x+1/2,-y,z'
'x+1/2,y+1/2,z+1/2'
'-x+1/2,-y+1/2,z+1/2'
'-x,y+1/2,z+1/2'
'x,-y+1/2,z+1/2'
loop_
_atom_site_label
_atom_site_type_symbol
_atom_site_fract_x
_atom_site_fract_y
_atom_site_fract_z
_atom_site_occupancy
Ca1 Ca 0.2500 0.2503 0.0000 1
Co1 Co 0.2500 0.5585 0.2500 1
Cl1 Cl 0.2500 0.6557 0.7504 1